[1]
HgSbSe2 | PBE | optimized geometry

Values from the calculation:
Mass density in g/cm3: 6.74
Raw formation energy in eV/atom: 0.1670
Total magnetic moment in μB/cell: 0.0
Total energy in eV/atom: -2.6813
Offset from the most stable computed form in meV/atom: 317.5
Space group: No. 166

Lattice parameters (Å, degrees): 8.8822 8.8822 8.8822 25.97 25.97 25.97
Fractional coordinates of all 4 atoms:
Se  0.1044  0.1044  0.1044
Sb  0.0000  0.0000  0.0000
Se  0.8956  0.8956  0.8956
Hg  0.5000  0.5000  0.5000

---

[2]
Pm5SN4 | PBE | optimized geometry

Values from the calculation:
Mass density in g/cm3: 7.51
Raw formation energy in eV/atom: -1.5485
Total magnetic moment in μB/cell: 0.0
Total energy in eV/atom: -7.6667
Space group: No. 12

Lattice parameters (Å, degrees): 3.6733 6.4033 8.3415 75.80 77.28 73.33
Fractional coordinates of all 10 atoms:
Pm  0.6082  0.6614  0.1223
N  0.8047  0.5989  0.7918
Pm  0.7916  0.0990  0.3179
Pm  0.0000  0.5000  0.5000
N  0.1953  0.4011  0.2082
N  0.3997  0.7990  0.4016
Pm  0.2084  0.9010  0.6821
S  0.0000  0.0000  0.0000
Pm  0.3918  0.3386  0.8777
N  0.6003  0.2010  0.5984

---

[3]
Pm3AlS6 | PBE | optimized geometry

Values from the calculation:
Mass density in g/cm3: 4.42
Raw formation energy in eV/atom: -1.8451
Total magnetic moment in μB/cell: 0.0
Total energy in eV/atom: -6.1210
Space group: No. 36

Lattice parameters (Å, degrees): 6.5952 8.7383 8.7383 102.30 90.00 90.00
Fractional coordinates of all 20 atoms:
Pm  0.9822  0.7148  0.9163
Pm  0.4822  0.2852  0.0837
Pm  0.9822  0.0837  0.2852
S  0.6903  0.6361  0.6875
S  0.6892  0.8986  0.4253
Al  0.0238  0.1985  0.8015
S  0.6903  0.3125  0.3639
S  0.6577  0.9577  0.0423
S  0.1577  0.0423  0.9577
S  0.1824  0.7833  0.2167
Pm  0.8979  0.6009  0.3991
Pm  0.3979  0.3991  0.6009
S  0.1903  0.3639  0.3125
S  0.6892  0.5747  0.1014
Al  0.5238  0.8015  0.1985
S  0.1903  0.6875  0.6361
S  0.1892  0.4253  0.8986
Pm  0.4822  0.9163  0.7148
S  0.1892  0.1014  0.5747
S  0.6824  0.2167  0.7833

---

[4]
MnCr4Co | PBE | optimized geometry

Values from the calculation:
Mass density in g/cm3: 7.67
Total magnetic moment in μB/cell: 0.0
Total energy in eV/atom: -8.8670
Space group: No. 216
ΔE_f in eV per atom: 0.26

Lattice parameters (Å, degrees): 4.6198 4.6198 4.6198 60.00 60.00 60.00
Fractional coordinates of all 6 atoms:
Cr  0.8735  0.3755  0.3755
Cr  0.3755  0.8735  0.3755
Co  0.0000  0.0000  0.0000
Cr  0.3755  0.3755  0.8735
Mn  0.7500  0.7500  0.7500
Cr  0.3755  0.3755  0.3755

---

[5]
Ca2Al4IrPt3 | PBE | optimized geometry

Values from the calculation:
Mass density in g/cm3: 8.55
Total magnetic moment in μB/cell: 0.0
Total energy in eV/atom: -5.5879
Space group: No. 115
ΔE_f in eV per atom: -0.99

Lattice parameters (Å, degrees): 4.2608 4.2608 10.3313 90.00 90.00 90.00
Fractional coordinates of all 10 atoms:
Ca  0.0000  0.5000  0.7415
Ca  0.5000  0.0000  0.2585
Al  0.0000  0.0000  0.0000
Ir  0.5000  0.5000  0.5000
Al  0.0000  0.5000  0.3747
Pt  0.5000  0.0000  0.8667
Pt  0.0000  0.0000  0.5000
Pt  0.0000  0.5000  0.1333
Al  0.5000  0.5000  0.0000
Al  0.5000  0.0000  0.6253

---

[6]
Hf2In2Ag | PBE | optimized geometry

Values from the calculation:
Mass density in g/cm3: 10.55
Total magnetic moment in μB/cell: 0.0
Total energy in eV/atom: -5.6015
Offset from the most stable computed form in meV/atom: 0.0
Space group: No. 127
ΔE_f in eV per atom: 0.05

Lattice parameters (Å, degrees): 7.0375 7.0375 4.4155 90.00 90.00 90.00
Fractional coordinates of all 10 atoms:
Hf  0.3392  0.1608  0.5000
Hf  0.6608  0.8392  0.5000
Hf  0.8392  0.3392  0.5000
Hf  0.1608  0.6608  0.5000
Ag  0.5000  0.5000  0.0000
In  0.1420  0.3580  0.0000
In  0.3580  0.8580  0.0000
Ag  0.0000  0.0000  0.0000
In  0.8580  0.6420  0.0000
In  0.6420  0.1420  0.0000

---

[7]
PS2NCl | PBE | optimized geometry

Values from the calculation:
Mass density in g/cm3: 2.97
Raw formation energy in eV/atom: 1.9172
Total magnetic moment in μB/cell: 0.0
Total energy in eV/atom: -2.8502
Offset from the most stable computed form in meV/atom: 1014.2
Space group: No. 123

Lattice parameters (Å, degrees): 4.8332 4.8332 3.4564 90.00 90.00 90.00
Fractional coordinates of all 5 atoms:
N  0.0000  0.0000  0.5000
P  0.5000  0.5000  0.5000
S  0.0000  0.5000  0.0000
S  0.5000  0.0000  0.0000
Cl  0.0000  0.0000  0.0000

---

[8]
Li2IrPb2 | PBE | optimized geometry

Values from the calculation:
Mass density in g/cm3: 10.99
Total magnetic moment in μB/cell: 0.0
Total energy in eV/atom: -3.9187
Offset from the most stable computed form in meV/atom: 33.0
Space group: No. 127
ΔE_f in eV per atom: 0.10

Lattice parameters (Å, degrees): 6.6789 6.6789 4.2050 90.00 90.00 90.00
Fractional coordinates of all 10 atoms:
Li  0.3619  0.8619  0.0000
Li  0.1381  0.3619  0.0000
Ir  0.5000  0.5000  0.0000
Pb  0.8210  0.3210  0.5000
Pb  0.6790  0.8210  0.5000
Pb  0.1790  0.6790  0.5000
Pb  0.3210  0.1790  0.5000
Ir  0.0000  0.0000  0.0000
Li  0.6381  0.1381  0.0000
Li  0.8619  0.6381  0.0000

---

[9]
La2CoSe2 | PBE | optimized geometry

Values from the calculation:
Mass density in g/cm3: 6.22
Raw formation energy in eV/atom: -0.9486
Total magnetic moment in μB/cell: 2.2
Total energy in eV/atom: -5.7345
Space group: No. 127

Lattice parameters (Å, degrees): 8.0001 8.0001 4.1243 90.00 90.00 90.00
Fractional coordinates of all 10 atoms:
La  0.3338  0.8338  0.0000
Co  0.5000  0.5000  0.0000
Se  0.8554  0.3554  0.5000
La  0.8338  0.6662  0.0000
Se  0.3554  0.1446  0.5000
Se  0.6446  0.8554  0.5000
La  0.6662  0.1662  0.0000
La  0.1662  0.3338  0.0000
Co  0.0000  0.0000  0.0000
Se  0.1446  0.6446  0.5000

---

[10]
Mg3Ga2Pd4 | PBE | optimized geometry

Values from the calculation:
Mass density in g/cm3: 7.23
Total magnetic moment in μB/cell: 0.0
Total energy in eV/atom: -4.0754
Offset from the most stable computed form in meV/atom: 82.8
Space group: No. 15
ΔE_f in eV per atom: -0.56

Lattice parameters (Å, degrees): 4.8742 7.9695 7.9695 73.14 96.93 96.93
Fractional coordinates of all 18 atoms:
Ga  0.3730  0.8528  0.5919
Mg  0.7500  0.3759  0.6241
Pd  0.5350  0.9308  0.2051
Mg  0.4359  0.7284  0.9753
Pd  0.4650  0.0692  0.7949
Ga  0.1270  0.4081  0.1472
Pd  0.8308  0.7346  0.5196
Mg  0.9359  0.9753  0.7284
Pd  0.3308  0.5196  0.7346
Pd  0.6692  0.4804  0.2654
Pd  0.0350  0.2051  0.9308
Ga  0.8730  0.5919  0.8528
Ga  0.6270  0.1472  0.4081
Mg  0.0641  0.0247  0.2716
Mg  0.5641  0.2716  0.0247
Pd  0.9650  0.7949  0.0692
Pd  0.1692  0.2654  0.4804
Mg  0.2500  0.6241  0.3759

---

[11]
NbNi3Pt2 | PBE | optimized geometry

Values from the calculation:
Mass density in g/cm3: 12.65
Total magnetic moment in μB/cell: 0.0
Total energy in eV/atom: -6.6792
Offset from the most stable computed form in meV/atom: 164.0
Space group: No. 63
ΔE_f in eV per atom: -0.10

Lattice parameters (Å, degrees): 5.1092 5.3618 6.8627 112.99 90.00 90.01
Fractional coordinates of all 12 atoms:
Ni  0.7501  0.9141  0.3542
Pt  0.0000  0.7546  0.9999
Pt  0.5000  0.2454  0.9999
Ni  0.2499  0.0859  0.6458
Ni  0.7499  0.4401  0.3542
Ni  0.2500  0.1584  0.3168
Ni  0.7500  0.8416  0.6832
Pt  0.5000  0.7546  0.0001
Pt  0.0000  0.2454  0.0001
Ni  0.2501  0.5599  0.6458
Nb  0.7500  0.3379  0.6758
Nb  0.2500  0.6621  0.3242

---

[12]
Pr6NdY2 | PBE | optimized geometry

Values from the calculation:
Mass density in g/cm3: 5.99
Total magnetic moment in μB/cell: 0.0
Total energy in eV/atom: -5.0088
Offset from the most stable computed form in meV/atom: 0.0
Space group: No. 15
ΔE_f in eV per atom: 0.14

Lattice parameters (Å, degrees): 9.2004 9.2004 9.2543 84.00 84.00 122.12
Fractional coordinates of all 18 atoms:
Y  0.1764  0.4607  0.2535
Pr  0.2845  0.8434  0.5484
Nd  0.9818  0.0182  0.2500
Pr  0.9246  0.6180  0.3632
Pr  0.6180  0.9246  0.8632
Pr  0.6973  0.6030  0.0779
Pr  0.8434  0.2845  0.0484
Pr  0.3820  0.0754  0.1368
Y  0.5393  0.8236  0.2465
Pr  0.1566  0.7155  0.9516
Y  0.8236  0.5393  0.7465
Pr  0.7155  0.1566  0.4516
Pr  0.3970  0.3027  0.4221
Nd  0.0182  0.9818  0.7500
Y  0.4607  0.1764  0.7535
Pr  0.3027  0.3970  0.9221
Pr  0.0754  0.3820  0.6368
Pr  0.6030  0.6973  0.5779

---

[13]
K3Pu3BiSe8 | PBE | optimized geometry

Values from the calculation:
Mass density in g/cm3: 5.83
Raw formation energy in eV/atom: -1.2616
Total magnetic moment in μB/cell: 14.0
Total energy in eV/atom: -6.4646
Space group: No. 166

Lattice parameters (Å, degrees): 8.4924 8.4932 9.1362 117.70 90.00 120.00
Fractional coordinates of all 15 atoms:
Se  0.2657  0.5313  0.2970
Se  0.7249  0.9643  0.7037
Pu  0.5000  0.5000  0.5000
Se  0.7343  0.4687  0.7030
Se  0.7606  0.5212  0.2964
Se  0.2394  0.9643  0.7037
K  0.0000  0.5000  0.0000
Se  0.7606  0.0357  0.2963
Pu  0.5000  0.0000  0.5000
Se  0.2394  0.4788  0.7036
Pu  0.0000  0.5000  0.5000
Bi  0.0000  0.0000  0.5000
K  0.0000  0.0000  0.0000
Se  0.2751  0.0357  0.2963
K  0.5000  0.5000  0.0000

---

[14]
Zr3Ga2Ni | PBE | optimized geometry

Values from the calculation:
Mass density in g/cm3: 7.04
Total magnetic moment in μB/cell: 0.0
Total energy in eV/atom: -6.7644
Space group: No. 62
ΔE_f in eV per atom: -0.52

Lattice parameters (Å, degrees): 4.1591 9.8149 10.9110 90.00 90.00 90.00
Fractional coordinates of all 24 atoms:
Ga  0.7500  0.0194  0.6768
Ni  0.7500  0.5962  0.3811
Ga  0.2500  0.5194  0.8232
Zr  0.7500  0.1803  0.2840
Ga  0.7500  0.4806  0.1768
Zr  0.2500  0.1423  0.5455
Ni  0.2500  0.0962  0.1189
Ni  0.2500  0.4038  0.6189
Ga  0.2500  0.8397  0.9892
Ga  0.2500  0.6603  0.4892
Zr  0.2500  0.8197  0.7160
Ga  0.7500  0.1603  0.0108
Zr  0.2500  0.4099  0.3486
Zr  0.2500  0.3577  0.0455
Ga  0.2500  0.9806  0.3232
Zr  0.2500  0.0901  0.8486
Zr  0.7500  0.9099  0.1514
Zr  0.7500  0.5901  0.6514
Zr  0.7500  0.3197  0.7840
Zr  0.2500  0.6803  0.2160
Ni  0.7500  0.9038  0.8811
Zr  0.7500  0.8577  0.4545
Zr  0.7500  0.6423  0.9545
Ga  0.7500  0.3397  0.5108

---

[15]
Al2Si2Ir | PBE | optimized geometry

Values from the calculation:
Mass density in g/cm3: 6.53
Raw formation energy in eV/atom: -0.1732
Total magnetic moment in μB/cell: 0.0
Total energy in eV/atom: -5.6116
Offset from the most stable computed form in meV/atom: 0.0
Space group: No. 127

Lattice parameters (Å, degrees): 6.1519 6.1519 4.0635 90.00 90.00 90.00
Fractional coordinates of all 10 atoms:
Ir  0.0000  0.0000  0.0000
Si  0.1349  0.3651  0.0000
Al  0.3264  0.1736  0.5000
Al  0.1736  0.6736  0.5000
Si  0.6349  0.1349  0.0000
Si  0.8651  0.6349  0.0000
Al  0.6736  0.8264  0.5000
Si  0.3651  0.8651  0.0000
Ir  0.5000  0.5000  0.0000
Al  0.8264  0.3264  0.5000

---

[16]
PmGdErMg | PBE | optimized geometry

Values from the calculation:
Mass density in g/cm3: 6.82
Total magnetic moment in μB/cell: 7.4
Total energy in eV/atom: -6.2257
Space group: No. 216
ΔE_f in eV per atom: 0.02

Lattice parameters (Å, degrees): 5.5407 5.5407 5.5407 60.00 60.00 60.00
Fractional coordinates of all 4 atoms:
Mg  0.0000  0.0000  0.0000
Pm  0.2500  0.2500  0.2500
Er  0.5000  0.5000  0.5000
Gd  0.7500  0.7500  0.7500

---

[17]
NdCuAsF | PBE | optimized geometry

Values from the calculation:
Mass density in g/cm3: 7.40
Raw formation energy in eV/atom: -1.8822
Total magnetic moment in μB/cell: 0.0
Total energy in eV/atom: -5.7284
Space group: No. 129

Lattice parameters (Å, degrees): 3.9701 3.9701 8.5897 90.00 90.00 90.00
Fractional coordinates of all 8 atoms:
Nd  0.0000  0.5000  0.3135
Cu  0.0000  0.0000  0.0000
Cu  0.5000  0.5000  0.0000
As  0.5000  0.0000  0.1789
F  0.5000  0.5000  0.5000
F  0.0000  0.0000  0.5000
As  0.0000  0.5000  0.8211
Nd  0.5000  0.0000  0.6865